Entry from Alexandria via LeMat-Bulk: Y2Th4Sb3N2 after structural relaxation (GGA-PBE).

Geometry as POSCAR:
```
Y2Th4Sb3N2
1.0
4.7421 0.0000 0.0000
0.0000 4.7421 0.0000
-2.3711 -2.3711 13.0765
Th Y N Sb
4 2 2 3
direct
0.4141 0.9141 0.8282
0.0859 0.5859 0.1718
0.9141 0.4141 0.8282
0.5859 0.0859 0.1718
0.3023 0.3023 0.6046
0.6977 0.6977 0.3954
0.3916 0.3916 0.7833
0.6084 0.6084 0.2167
0.8193 0.8193 0.6385
0.1807 0.1807 0.3615
0.0000 0.0000 0.0000
```

Computed properties:
- V: 294 Å³ per cell
- DFT total energy: -7.512 eV/atom

***

Entry from Alexandria via LeMat-Bulk: KLi2Si after structural relaxation (GGA-PBE).

Geometry as POSCAR:
```
KLi2Si
1.0
5.3105 0.0000 0.0000
0.0000 5.3105 0.0000
2.6552 2.6552 8.6377
Li Si K
4 2 2
direct
0.8750 0.6231 0.7500
0.3731 0.1250 0.2500
0.3750 0.6269 0.7500
0.3769 0.6250 0.2500
0.2500 0.7500 0.5000
0.5000 0.5000 0.0000
0.7500 0.2500 0.5000
0.0000 0.0000 0.0000
```

Computed properties:
- V: 244 Å³ per cell
- DFT total energy: -2.381 eV/atom

***

Entry from Alexandria via LeMat-Bulk: Ac3LaPm2Sb6 after structural relaxation (GGA-PBE).

Geometry as POSCAR:
```
Ac3LaPm2Sb6
1.0
-6.3969 -4.4148 -2.2409
6.2594 0.8991 -5.0442
3.3160 -5.0635 5.3730
Ac Sb Pm La
3 6 2 1
direct
0.1658 0.8342 0.5000
0.5000 0.5000 0.5000
0.8342 0.1658 0.5000
0.5846 0.9213 0.7640
0.9213 0.5846 0.7640
0.0787 0.4154 0.2360
0.2584 0.2584 0.7649
0.4154 0.0787 0.2360
0.7416 0.7416 0.2351
0.6669 0.3331 0.0000
0.3331 0.6669 0.0000
0.0000 0.0000 0.0000
```

Computed properties:
- V: 433 Å³ per cell
- DFT total energy: -5.496 eV/atom

***

| no. | spin magnetization (μB per cell) |
| --- | --- |
| 1 | 0.00 |
| 2 | 1.46 |
| 3 | 0.00 |